# 1
The following is a PBE calculation of Ba7Sc6 after structural relaxation, from the Alexandria database.

Values from the calculation:
total magnetic moment: 0.6 μB/f.u.
ΔE_f: 700.8 meV/atom
space-group type: R-3m

Geometry as POSCAR:
```
Ba7Sc6
1.0
3.5958 2.0761 11.8607
-3.5958 2.0761 11.8607
0.0000 -4.1521 11.8607
Ba Sc
7 6
direct
0.0000 0.0000 0.0000
0.0867 0.0867 0.5750
0.0867 0.5750 0.0867
0.4250 0.9133 0.9133
0.5750 0.0867 0.0867
0.9133 0.4250 0.9133
0.9133 0.9133 0.4250
0.1667 0.1667 0.1667
0.3616 0.3616 0.3616
0.4575 0.4575 0.4575
0.5425 0.5425 0.5425
0.6384 0.6384 0.6384
0.8333 0.8333 0.8333
```

***

# 2
The following is a PBE calculation of RbH8Pd4 after structural relaxation, from the Alexandria database.

Values from the calculation:
total magnetic moment: 0.0 μB/f.u.
calculated total energy: -3.869 eV/atom
space-group type: C2/m

Geometry as POSCAR:
```
RbH8Pd4
1.0
5.0333 -2.9077 0.0000
5.0333 2.9077 0.0000
-3.2383 0.0000 6.3930
Rb H Pd
1 8 4
direct
0.0000 0.0000 0.0000
0.2066 0.2066 0.6236
0.2078 0.7040 0.6201
0.2954 0.2954 0.3792
0.2960 0.7922 0.3799
0.7040 0.2078 0.6201
0.7046 0.7046 0.6208
0.7922 0.2960 0.3799
0.7934 0.7934 0.3764
0.0000 0.0000 0.5000
0.0000 0.5000 0.5000
0.5000 0.0000 0.5000
0.5000 0.5000 0.5000
```

***

# 3
The following is a PBE calculation of Ni4Mo after structural relaxation, from the Alexandria database.

Values from the calculation:
total magnetic moment: 0.0 μB/f.u.
ΔE_f: 1562.7 meV/atom
polymorph energy (0 for the lowest one): 1.6476 eV/atom
space-group type: Pm-3m

Geometry as POSCAR:
```
Ni4Mo
1.0
4.4103 0.0000 0.0000
0.0000 4.4103 0.0000
0.0000 0.0000 4.4103
Ni Mo
4 1
direct
0.0000 0.0000 0.0000
0.0000 0.5000 0.5000
0.5000 0.0000 0.5000
0.5000 0.5000 0.0000
0.5000 0.5000 0.5000
```

***

# 4
The following is a PBE calculation of CaPr3Cd after structural relaxation, from the Alexandria database.

Values from the calculation:
total magnetic moment: 0.0 μB/f.u.
ΔE_f: -99.9 meV/atom
space-group type: C2/m

Geometry as POSCAR:
```
CaPr3Cd
1.0
6.7603 -1.8993 0.0000
6.7603 1.8993 0.0000
-0.9713 0.0000 13.2719
Ca Pr Cd
2 6 2
direct
0.2278 0.2278 0.2505
0.7722 0.7722 0.7495
0.0337 0.0337 0.6881
0.1385 0.1385 0.9538
0.3665 0.3665 0.5217
0.6335 0.6335 0.4783
0.8615 0.8615 0.0462
0.9663 0.9663 0.3119
0.4396 0.4396 0.8658
0.5604 0.5604 0.1342
```

***

# 5
The following is a PBE calculation of Tb6Ho3Th after structural relaxation, from the Alexandria database.

Values from the calculation:
total magnetic moment: 0.0 μB/f.u.
ΔE_f: 235.9 meV/atom
space-group type: C2/m

Geometry as POSCAR:
```
Tb6Ho3Th
1.0
3.4227 -5.3356 0.0000
3.4227 5.3356 0.0000
-3.3023 0.0000 8.9724
Tb Ho Th
6 3 1
direct
0.1192 0.7362 0.6574
0.2638 0.8808 0.3426
0.3883 0.3883 0.8107
0.6117 0.6117 0.1893
0.7362 0.1192 0.6574
0.8808 0.2638 0.3426
0.0000 0.0000 0.0000
0.0000 0.5000 0.0000
0.5000 0.0000 0.0000
0.5000 0.5000 0.5000
```

***

# 6
The following is a PBE calculation of InTcBr2 after structural relaxation, from the Alexandria database.

Values from the calculation:
total magnetic moment: 2.2 μB/f.u.
uncorrected formation energy: 0.243 eV/atom
polymorph energy (0 for the lowest one): 0.3150 eV/atom
space-group type: P2/m

Geometry as POSCAR:
```
InTcBr2
1.0
3.3491 0.0000 0.0000
0.0000 3.3734 0.0000
-0.0567 0.0000 9.5071
In Tc Br
1 1 2
direct
0.0000 0.0000 0.0000
0.5000 0.0000 0.5000
0.4962 0.5000 0.3011
0.5038 0.5000 0.6989
```

***

# 7
The following is a PBE calculation of AcGeTe2 after structural relaxation, from the Alexandria database.

Values from the calculation:
total magnetic moment: 0.0 μB/f.u.
uncorrected formation energy: -0.878 eV/atom
space-group type: Pm

Geometry as POSCAR:
```
AcGeTe2
1.0
4.5875 0.0000 0.0000
0.0000 4.6760 0.0000
-2.2931 0.0000 5.9244
Ac Ge Te
1 1 2
direct
0.0000 0.0000 0.0000
0.8050 0.5000 0.6125
0.2953 0.0000 0.5908
0.5798 0.5000 0.1594
```

***

Please write out number 4 again, unchanged.
The following is a PBE calculation of CaPr3Cd after structural relaxation, from the Alexandria database.

Values from the calculation:
total magnetic moment: 0.0 μB/f.u.
ΔE_f: -99.9 meV/atom
space-group type: C2/m

Geometry as POSCAR:
```
CaPr3Cd
1.0
6.7603 -1.8993 0.0000
6.7603 1.8993 0.0000
-0.9713 0.0000 13.2719
Ca Pr Cd
2 6 2
direct
0.2278 0.2278 0.2505
0.7722 0.7722 0.7495
0.0337 0.0337 0.6881
0.1385 0.1385 0.9538
0.3665 0.3665 0.5217
0.6335 0.6335 0.4783
0.8615 0.8615 0.0462
0.9663 0.9663 0.3119
0.4396 0.4396 0.8658
0.5604 0.5604 0.1342
```